# Y2Mo3O12

A relaxed structure of Y2Mo3O12 (GGA+U, the Alexandria database).

## Properties
The excess energy over the best structure of this formula in the dataset comes out at 27.2 meV per atom. The total energy comes out at -527.8 eV/cell. The symmetry is No. 32. For the density, the calculation gives 3669 kg/m3. Its volume is 17.5 Å³/atom.

abc: 10.5228 10.5387 10.7353
angles: 90.00 90.00 90.00
Fractional positions:
Y 0.6877 0.0018 0.7406
Y 0.3123 0.9982 0.7406
Y 0.8123 0.5018 0.7406
Y 0.4960 0.3123 0.2667
Y 0.0040 0.8123 0.2667
Y 0.1877 0.4982 0.7406
Y 0.9960 0.1877 0.2667
Y 0.5040 0.6877 0.2667
Mo 0.7552 0.7535 0.0035
Mo 0.9989 0.7932 0.6471
Mo 0.5011 0.2932 0.6471
Mo 0.7448 0.2535 0.0035
Mo 0.2938 0.9921 0.3597
Mo 0.7938 0.5079 0.3597
Mo 0.4989 0.7068 0.6471
Mo 0.7062 0.0079 0.3597
Mo 0.2552 0.7465 0.0035
Mo 0.2062 0.4921 0.3597
Mo 0.2448 0.2465 0.0035
Mo 0.0011 0.2068 0.6471
O 0.8729 0.1230 0.7181
O 0.4844 0.3042 0.4821
O 0.6944 0.0063 0.5253
O 0.0156 0.8042 0.4821
O 0.8522 0.6571 0.3061
O 0.1242 0.1753 0.0980
O 0.3758 0.6753 0.0980
O 0.8758 0.8247 0.0980
O 0.8794 0.3773 0.2958
O 0.9960 0.3736 0.6959
O 0.4960 0.1264 0.6959
O 0.8056 0.5063 0.5253
O 0.6206 0.8773 0.2958
O 0.8605 0.1816 0.1035
O 0.6242 0.3247 0.0980
O 0.3522 0.8429 0.3061
O 0.1741 0.3636 0.9044
O 0.3605 0.3184 0.1035
O 0.1206 0.6227 0.2958
O 0.3729 0.3770 0.7181
O 0.8480 0.8543 0.6926
O 0.1267 0.0036 0.3119
O 0.6827 0.8723 0.9076
O 0.1478 0.3429 0.3061
O 0.0040 0.6264 0.6959
O 0.3794 0.1227 0.2958
O 0.5156 0.6958 0.4821
O 0.1271 0.8770 0.7181
O 0.1395 0.8184 0.1035
O 0.6478 0.1571 0.3061
O 0.3056 0.9937 0.5253
O 0.3733 0.5036 0.3119
O 0.1944 0.4937 0.5253
O 0.8173 0.3723 0.9076
O 0.6395 0.6816 0.1035
O 0.6267 0.4964 0.3119
O 0.6271 0.6230 0.7181
O 0.3480 0.6457 0.6926
O 0.9844 0.1958 0.4821
O 0.6741 0.1364 0.9044
O 0.8733 0.9964 0.3119
O 0.6520 0.3543 0.6926
O 0.5040 0.8736 0.6959
O 0.3259 0.8636 0.9044
O 0.1827 0.6277 0.9076
O 0.3173 0.1277 0.9076
O 0.8259 0.6364 0.9044
O 0.1520 0.1457 0.6926